1.
DFT (PBE) results for TaMoOs after structural relaxation.

Lattice parameters (Å, degrees): 6.105 6.105 6.105 90.00 90.00 90.00
Space group F-43m (No. 216)
Symmetry-distinct sites (fractional):
1 Ta 0.000 0.000 0.000 x4
2 Mo 0.000 0.000 0.500 x4
3 Os 0.250 0.250 0.750 x4

Calculated values
Mass density   13.6 g/cm³
Total DFT energy (no corrections)   -131.1 eV/cell
Total magnetic moment   0.029 μB per cell
Relative energy among the computed polymorphs   0 meV per atom

2.
DFT (PBE) results for LiPr2OsN6 after structural relaxation.

Lattice parameters (Å, degrees): 5.459 5.833 9.445 90.00 124.46 90.00
Space group P2_1/c (No. 14)
Symmetry-distinct sites (fractional):
1 Li 0.000 0.000 0.000 x2
2 Pr 0.231 0.069 0.748 x4
3 Os 0.500 0.000 0.500 x2
4 N 0.171 0.192 0.463 x4
5 N 0.270 0.718 0.462 x4
6 N 0.330 0.012 0.256 x4

Calculated values
Mass density   7.5 g/cm³
Total DFT energy (no corrections)   -144.6 eV/cell
Total magnetic moment   5.406 μB per cell

3.
DFT (PBE) results for NaTcMoPb after structural relaxation.

Lattice parameters (Å, degrees): 6.597 6.597 6.597 90.00 90.00 90.00
Space group F-43m (No. 216)
Symmetry-distinct sites (fractional):
1 Na 0.000 0.000 0.000 x4
2 Tc 0.250 0.250 0.750 x4
3 Mo 0.000 0.000 0.500 x4
4 Pb 0.250 0.250 0.250 x4

Calculated values
Mass density   9.8 g/cm³
Total DFT energy (no corrections)   -93.8 eV/cell
Total magnetic moment   0.016 μB per cell
Relative energy among the computed polymorphs   84 meV per atom

4.
DFT (PBE) results for Y2Zr3Cd2 after structural relaxation.

Lattice parameters (Å, degrees): 5.1182 5.1182 22.9081 90.00 90.00 120.00
Space group R3m (No. 160, hexagonal axes)
Symmetry-distinct sites (fractional):
1 Y 0.0000 0.0000 0.0000 x3
2 Y 0.0000 0.0000 0.4368 x3
3 Zr 0.0000 0.0000 0.2653 x3
4 Zr 0.0000 0.0000 0.5879 x3
5 Zr 0.0000 0.0000 0.8618 x3
6 Cd 0.0000 0.0000 0.1385 x3
7 Cd 0.0000 0.0000 0.7226 x3

Calculated values
Mass density   6.5 g/cm³
Total DFT energy (no corrections)   -123.6 eV/cell
Total magnetic moment   0.023 μB per cell

5.
DFT (PBE) results for Rb6ZnSi2 after structural relaxation.

Lattice parameters (Å, degrees): 11.246 6.305 10.856 90.00 104.43 90.00
Space group C2/m (No. 12)
Symmetry-distinct sites (fractional):
1 Rb 0.055 0.000 0.229 x4
2 Rb 0.180 0.500 0.064 x4
3 Rb 0.205 0.000 0.584 x4
4 Zn 0.000 0.500 0.500 x2
5 Si 0.103 0.500 0.724 x4

Calculated values
Mass density   2.8 g/cm³
Total DFT energy (no corrections)   -32.9 eV/cell

6.
DFT (PBE) results for Ta4Bi3Mo2N3 after structural relaxation.

Lattice parameters (Å, degrees): 9.766 6.366 13.837 90.00 103.53 90.00
Space group C2/c (No. 15)
Symmetry-distinct sites (fractional):
1 Ta 0.092 0.154 0.079 x8
2 Ta 0.223 0.047 0.441 x8
3 Bi 0.000 0.078 0.750 x4
4 Bi 0.174 0.432 0.257 x8
5 Mo 0.025 0.407 0.919 x8
6 N 0.098 0.300 0.481 x8
7 N 0.250 0.250 0.000 x4

Calculated values
Mass density   12.6 g/cm³
Total DFT energy (no corrections)   -428.5 eV/cell
Total magnetic moment   0.003 μB per cell

7.
DFT (PBE) results for BaRe2 after structural relaxation.

Lattice parameters (Å, degrees): 7.992 7.992 7.992 90.00 90.00 90.00
Space group Fd-3m (No. 227, origin choice 2)
Symmetry-distinct sites (fractional):
1 Ba 0.125 0.125 0.125 x8
2 Re 0.000 0.000 0.500 x16

Calculated values
Mass density   13.3 g/cm³
Total DFT energy (no corrections)   -191.1 eV/cell
Total magnetic moment   0.012 μB per cell
Relative energy among the computed polymorphs   26 meV per atom

8.
DFT (PBE) results for Li2Mg2Ga2CuAg after structural relaxation.

Lattice parameters (Å, degrees): 4.428 4.428 6.365 90.00 90.00 90.00
Space group P-4m2 (No. 115)
Symmetry-distinct sites (fractional):
1 Li 0.000 0.000 0.000 x1
2 Li 0.500 0.500 0.500 x1
3 Mg 0.000 0.500 0.238 x2
4 Ga 0.000 0.500 0.766 x2
5 Cu 0.500 0.500 0.000 x1
6 Ag 0.000 0.000 0.500 x1

Calculated values
Mass density   5.0 g/cm³
Total DFT energy (no corrections)   -21.5 eV/cell